# NaFeS2O8 (PBE+U, optimized geometry)
# density = 2.8 g/cm3
# DOS at the Fermi energy = 0.000 states/eV per atom
# distance to the lowest polymorph of the same formula = 22.1 meV/atom
# uncorrected energy = -6.0844 eV/atom
data_NaFeS2O8
_space_group_name_H-M_alt 'P n m a'
_space_group_IT_number 62
_cell_length_a 14.522
_cell_length_b 5.197
_cell_length_c 8.399
_cell_angle_alpha 90.00
_cell_angle_beta 90.00
_cell_angle_gamma 90.00
loop_
_space_group_symop_operation_xyz
'x,y,z'
'-x,-y,-z'
'-x+1/2,-y,z+1/2'
'x+1/2,y,-z+1/2'
'x+1/2,-y+1/2,-z+1/2'
'-x+1/2,y+1/2,z+1/2'
'-x,y+1/2,-z'
'x,-y+1/2,z'
loop_
_atom_site_label
_atom_site_type_symbol
_atom_site_fract_x
_atom_site_fract_y
_atom_site_fract_z
_atom_site_occupancy
Na1 Na 0.068 0.250 0.091 1
Fe1 Fe 0.152 0.250 0.498 1
S1 S 0.054 0.750 0.302 1
S2 S 0.170 0.750 0.741 1
O1 O 0.024 0.250 0.585 1
O2 O 0.026 0.750 0.135 1
O3 O 0.073 0.750 0.773 1
O4 O 0.112 0.515 0.330 1
O5 O 0.200 0.518 0.648 1
O6 O 0.223 0.750 0.895 1